# TiOs2F

A relaxed TiOs2F crystal (PBE, the Alexandria database).

Results
E above lowest polymorph, eV per atom: 0.000

Cell: 7.1390 7.1390 5.5478 Å, 49.95 49.95 90.00°
Element x y z (fractional)
F 0.5000 0.5000 0.0000
F 0.2500 0.7500 0.5000
Os 0.5667 0.1250 0.2500
Os 0.1833 0.6250 0.2500
Os 0.3750 0.4333 0.7500
Os 0.8750 0.8167 0.7500
Ti 0.0000 0.0000 0.0000
Ti 0.7500 0.2500 0.5000

***

# Ti2OsF

A relaxed Ti2OsF crystal (PBE, the Alexandria database).

Results
E above lowest polymorph, eV per atom: 0.000

Cell: 6.0414 6.0414 5.3641 Å, 55.73 55.73 90.00°
Element x y z (fractional)
F 0.5000 0.5000 0.0000
F 0.2500 0.7500 0.5000
Os 0.0000 0.0000 0.0000
Os 0.7500 0.2500 0.5000
Ti 0.5687 0.1250 0.2500
Ti 0.1813 0.6250 0.2500
Ti 0.3750 0.4313 0.7500
Ti 0.8750 0.8187 0.7500

***

# TiOs2F2

A relaxed TiOs2F2 crystal (PBE, the Alexandria database).

Results
E above lowest polymorph, eV per atom: 0.338

Cell: 3.9587 3.9587 5.1894 Å, 67.58 67.58 90.00°
Element x y z (fractional)
F 0.3817 0.3817 0.2366
F 0.6183 0.6183 0.7634
Os 0.7500 0.2500 0.5000
Os 0.2500 0.7500 0.5000
Ti 0.0000 0.0000 0.0000

***

# Ti2OsF

A relaxed Ti2OsF crystal (PBE, the Alexandria database).

Results
E above lowest polymorph, eV per atom: 0.250

Cell: 4.3410 4.3410 4.3410 Å, 60.00 60.00 60.00°
Element x y z (fractional)
F 0.0000 0.0000 0.0000
Os 0.5000 0.5000 0.5000
Ti 0.2500 0.2500 0.2500
Ti 0.7500 0.7500 0.7500

***

# YTi2OsF

A relaxed YTi2OsF crystal (PBE, the Alexandria database).

Results
DFT total energy, eV/atom: -7.60

Cell: 4.1777 4.1777 4.6680 Å, 90.00 90.00 90.00°
Last column: magnetic moment on the atom in μB.
Element x y z (fractional)
Y 0.0000 0.0000 0.5000  0.04
F 0.0000 0.0000 0.0000  0.01
Os 0.5000 0.5000 0.5000  -0.01
Ti 0.0000 0.5000 0.0000  0.39
Ti 0.5000 0.0000 0.0000  0.39

***

# YTiOs2F

A relaxed YTiOs2F crystal (PBE, the Alexandria database).

Results
DFT total energy, eV/atom: -5.40

Cell: 4.8850 5.3502 4.8850 Å, 90.00 90.00 90.00°
Last column: magnetic moment on the atom in μB.
Element x y z (fractional)
Y 0.0000 0.0000 0.0000  -0.06
F 0.5000 0.5000 0.5000  0.09
Os 0.0000 0.0000 0.5000  0.88
Os 0.5000 0.0000 0.0000  1.01
Ti 0.0000 0.5000 0.0000  0.46

***

# TlOs2F

A relaxed TlOs2F crystal (PBE, the Alexandria database).

Results
E above lowest polymorph, eV per atom: 0.761

Cell: 4.5034 4.5034 4.5034 Å, 60.00 60.00 60.00°
Last column: magnetic moment on the atom in μB.
Element x y z (fractional)
Tl 0.5000 0.5000 0.5000  -0.03
Os 0.2500 0.2500 0.2500  1.59
Os 0.7500 0.7500 0.7500  1.59
F 0.0000 0.0000 0.0000  0.14

***

# Tl2OsF8

A relaxed Tl2OsF8 crystal (PBE, the Alexandria database).

Results
DFT total energy, eV/atom: -4.57

Cell: 6.2840 7.4451 7.4451 Å, 40.15 106.08 106.08°
Last column: magnetic moment on the atom in μB.
Element x y z (fractional)
Tl 0.3047 0.7837 0.7837  -0.14
Tl 0.6953 0.2163 0.2163  -0.14
Os 0.0000 0.0000 0.0000  1.98
F 0.9790 0.8453 0.3488  0.09
F 0.0210 0.6512 0.1547  0.09
F 0.6819 0.9504 0.9504  0.11
F 0.3181 0.0496 0.0496  0.11
F 0.9790 0.3488 0.8453  0.09
F 0.0210 0.1547 0.6512  0.09
F 0.6177 0.7184 0.7184  -0.15
F 0.3823 0.2816 0.2816  -0.15

***

# TlOs2F

A relaxed TlOs2F crystal (PBE, the Alexandria database).

Results
E above lowest polymorph, eV per atom: 0.000

Cell: 3.5741 3.5741 11.2439 Å, 80.85 80.85 90.00°
Element x y z (fractional)
Tl 0.0000 0.0000 0.0000
Tl 0.7500 0.2500 0.5000
Os 0.1392 0.1250 0.2500
Os 0.6108 0.6250 0.2500
Os 0.3750 0.8608 0.7500
Os 0.8750 0.3892 0.7500
F 0.5000 0.5000 0.0000
F 0.2500 0.7500 0.5000

***

# Tl2OsF7

A relaxed Tl2OsF7 crystal (PBE, the Alexandria database).

Results
DFT total energy, eV/atom: -4.67

Cell: 6.4715 8.0368 8.1341 Å, 80.91 66.56 66.26°
Last column: magnetic moment on the atom in μB.
Element x y z (fractional)
Tl 0.6077 0.9321 0.7276  0.01
Tl 0.7326 0.4321 0.2276  0.01
Tl 0.2674 0.5679 0.7724  0.01
Tl 0.3923 0.0679 0.2724  0.01
Os 0.9620 0.2500 0.7500  0.73
Os 0.0380 0.7500 0.2500  0.73
F 0.7906 0.5068 0.8338  0.05
F 0.8688 0.0068 0.3338  0.05
F 0.2076 0.8255 0.0147  0.04
F 0.2833 0.2632 0.5946  0.01
F 0.6531 0.2500 0.7500  0.00
F 0.9522 0.3255 0.5147  0.04
F 0.1411 0.2368 0.9054  0.01
F 0.8589 0.7632 0.0946  0.01
F 0.0478 0.6745 0.4853  0.04
F 0.3469 0.7500 0.2500  0.00
F 0.7167 0.7368 0.4054  0.01
F 0.7924 0.1745 0.9853  0.04
F 0.1312 0.9932 0.6662  0.05
F 0.2094 0.4932 0.1662  0.05

***

| no. | ρ (g/cm³) | size of the total moment (μB per cell) | calculated volume (Å³/f.u.) |
| --- | --- | --- | --- |
| 1 | 12.667 | 0.0 | 58.6 |
| 2 | 8.554 | 0.0 | 59.2 |
| 3 | 11.308 | 0.0 | 68.5 |
| 4 | 8.755 | 0.0 | 57.8 |
| 5 | 8.028 | 1.0 | 81.5 |
| 6 | 6.974 | 2.6 | 127.7 |
| 7 | 15.526 | 3.5 | 64.6 |
| 8 | 5.811 | 2.0 | 214.6 |
| 9 | 14.329 | 0.0 | 70.0 |
| 10 | 6.842 | 2.0 | 177.6 |